# Dy2YHo (PBE, optimized geometry)
# - Total moment: 0.00 μB per formula unit
# - Polymorph energy (0 for the lowest one): 0.016 eV/atom
# - Energy of formation: 0.02 eV/atom
data_Dy2YHo
_symmetry_space_group_name_H-M 'R -3 m'
_symmetry_Int_Tables_number 166
_symmetry_space_group_name_Hall '-R 3 2"'
_cell_length_a 3.5460
_cell_length_b 3.5460
_cell_length_c 34.6695
_cell_angle_alpha 90.00
_cell_angle_beta 90.00
_cell_angle_gamma 120.00
loop_
_atom_site_label
_atom_site_fract_x
_atom_site_fract_y
_atom_site_fract_z
_atom_site_occupancy
Dy1 0.0000 0.0000 0.2495 1
Y1 0.0000 0.0000 0.0000 1
Ho1 0.0000 0.0000 0.5000 1

=====

# KTa3Co (PBE, optimized geometry)
# - Total moment: 0.00 μB per formula unit
# - Polymorph energy (0 for the lowest one): 0.000 eV/atom
# - Energy of formation: 1.25 eV/atom
data_KTa3Co
_symmetry_space_group_name_H-M 'P m -3 m'
_symmetry_Int_Tables_number 221
_symmetry_space_group_name_Hall '-P 4 2 3'
_cell_length_a 4.765
_cell_length_b 4.765
_cell_length_c 4.765
_cell_angle_alpha 90.00
_cell_angle_beta 90.00
_cell_angle_gamma 90.00
loop_
_atom_site_label
_atom_site_fract_x
_atom_site_fract_y
_atom_site_fract_z
_atom_site_occupancy
K1 0.000 0.000 0.000 1
Ta1 0.000 0.500 0.500 1
Co1 0.500 0.500 0.500 1

=====

# Pa2BeCo3 (PBE, optimized geometry)
# - Total moment: 0.00 μB per formula unit
# - Polymorph energy (0 for the lowest one): 0.090 eV/atom
# - Energy of formation: -0.26 eV/atom
data_Pa2BeCo3
_symmetry_space_group_name_H-M 'F m m m'
_symmetry_Int_Tables_number 69
_symmetry_space_group_name_Hall '-F 2 2'
_cell_length_a 6.815
_cell_length_b 8.857
_cell_length_c 12.598
_cell_angle_alpha 90.00
_cell_angle_beta 90.00
_cell_angle_gamma 90.00
loop_
_atom_site_label
_atom_site_fract_x
_atom_site_fract_y
_atom_site_fract_z
_atom_site_occupancy
Pa1 0.247 0.000 0.000 1
Pa2 0.250 0.250 0.250 1
Be1 0.000 0.000 0.323 1
Co1 0.000 0.000 0.145 1
Co2 0.000 0.221 0.400 1

=====

Question: polymorph energy (0 for the lowest one) of number 2 (KTa3Co)?
Answer: 0.000 eV/atom